DFT (PBE) results for an optimized crystal structure of RbTlCrSe2.

As for the total energy: -0.226 Ry/atom. The formation energy without anion corrections is 913 meV per atom. As for the total magnetization: 6.26 μB/f.u.

The space group is P4/mmm (No. 123) and the conventional cell measures 6.069, 6.069 and 5.487 Å, with angles of 90.00, 90.00 and 90.00 degrees. The distinct sites, in fractional coordinates, are Rb at (0.000, 0.000, 0.000), Tl at (0.500, 0.500, 0.500), Cr at (0.000, 0.000, 0.500) and Se at (0.000, 0.500, 0.000).